{"formula": "CsAuI4O12", "functional": "SCAN", "state": "PBEsol geometry", "lattice_angstrom": [[7.577, 0.000, 0.000], [0.728, 7.826, 0.000], [3.222, 2.549, 10.032]], "species": ["Cs", "Cs", "Au", "Au", "I", "I", "I", "I", "I", "I", "I", "I", "O", "O", "O", "O", "O", "O", "O", "O", "O", "O", "O", "O", "O", "O", "O", "O", "O", "O", "O", "O", "O", "O", "O", "O"], "frac_coords": [[0.052, 0.185, 0.138], [0.948, 0.815, 0.862], [0.429, 0.947, 0.793], [0.571, 0.053, 0.207], [0.229, 0.788, 0.463], [0.248, 0.348, 0.747], [0.286, 0.280, 0.420], [0.332, 0.655, 0.113], [0.668, 0.345, 0.887], [0.714, 0.720, 0.580], [0.752, 0.652, 0.253], [0.771, 0.212, 0.537], [0.042, 0.415, 0.857], [0.051, 0.309, 0.400], [0.137, 0.320, 0.621], [0.185, 0.984, 0.529], [0.217, 0.107, 0.848], [0.278, 0.849, 0.178], [0.303, 0.751, 0.940], [0.315, 0.649, 0.596], [0.336, 0.519, 0.344], [0.361, 0.219, 0.249], [0.417, 0.351, 0.929], [0.490, 0.853, 0.368], [0.510, 0.147, 0.632], [0.583, 0.649, 0.071], [0.639, 0.781, 0.751], [0.664, 0.481, 0.656], [0.685, 0.351, 0.404], [0.697, 0.249, 0.060], [0.722, 0.151, 0.822], [0.783, 0.893, 0.152], [0.815, 0.016, 0.471], [0.863, 0.680, 0.379], [0.949, 0.691, 0.600], [0.958, 0.585, 0.143]], "e_tot_ev_per_atom": -18.79, "raw_formation_energy_ev_per_atom": -0.5250, "crystal_system": "triclinic"}

---

{"formula": "CsSb2AuI", "functional": "SCAN", "state": "PBEsol geometry", "lattice_angstrom": [[7.574, 0.000, 0.000], [0.000, 7.574, 0.000], [0.000, 0.000, 6.792]], "species": ["Cs", "Sb", "Sb", "Au", "I"], "frac_coords": [[0.000, 0.000, 0.000], [0.000, 0.500, 0.000], [0.500, 0.000, 0.000], [0.500, 0.500, 0.500], [0.000, 0.000, 0.500]], "e_tot_ev_per_atom": -42.37, "raw_formation_energy_ev_per_atom": 1.2712, "crystal_system": "tetragonal"}